This record from Alexandria via LeMat-Bulk describes Sm2CdS4 after structural relaxation. The functional is GGA-PBE.

Cell: 8.1275 8.1275 8.1283 Å, 60.00 60.00 90.00°
Fractional positions:
Sm  0.5000  0.5000  0.5000
Sm  0.5000  0.0000  0.5000
Sm  0.0000  0.0000  0.0000
Sm  0.5000  0.0000  0.0000
Cd  0.8749  0.6251  0.7500
Cd  0.1251  0.3749  0.2500
S  0.2560  0.7680  0.9879
S  0.7440  0.2320  0.0121
S  0.2680  0.7560  0.4879
S  0.2560  0.2440  0.5120
S  0.2560  0.2440  0.9880
S  0.7440  0.7560  0.4880
S  0.7320  0.2440  0.5121
S  0.7440  0.7560  0.0120



This record from Alexandria via LeMat-Bulk describes Sm2CdS4 after structural relaxation. The functional is GGA-PBE.

Calculated values
N(E_F) = 0.00 states/eV/f.u.

Cell: 7.3999 7.3999 7.3999 Å, 110.45 110.45 107.53°
Fractional positions:
Sm  0.7307  0.1250  0.1057
Sm  0.3750  0.2693  0.3943
Sm  0.0193  0.6250  0.8943
Sm  0.8750  0.9807  0.6057
Cd  0.5000  0.5000  0.0000
Cd  0.2500  0.7500  0.5000
S  0.2527  0.9892  0.8733
S  0.4973  0.8706  0.2365
S  0.6206  0.7473  0.7365
S  0.1294  0.3659  0.6267
S  0.6341  0.2608  0.7635
S  0.0108  0.8841  0.2635
S  0.1159  0.3794  0.1267
S  0.7392  0.5027  0.3733



This record from Alexandria via LeMat-Bulk describes Sm3CdS after structural relaxation. The functional is GGA-PBE.

Calculated values
N(E_F) = 3.64 states/eV/f.u.

Cell: 5.3197 5.3197 5.3197 Å, 90.00 90.00 90.00°
Fractional positions:
S  0.0000  0.0000  0.0000
Sm  0.0000  0.5000  0.0000
Sm  0.0000  0.0000  0.5000
Sm  0.5000  0.0000  0.0000
Cd  0.5000  0.5000  0.5000



This record from Alexandria via LeMat-Bulk describes Sm3CdS after structural relaxation. The functional is GGA-PBE.

Calculated values
N(E_F) = 4.37 states/eV/f.u.

Cell: 3.9680 9.2142 15.4785 Å, 90.00 90.00 90.00°
Fractional positions:
Sm  0.2500  0.3365  0.5253
Sm  0.7500  0.8269  0.2004
Sm  0.7500  0.5182  0.8924
Sm  0.7500  0.0182  0.6076
Sm  0.7500  0.6635  0.4747
Sm  0.2500  0.9818  0.3924
Sm  0.2500  0.8365  0.9747
Sm  0.7500  0.3269  0.2996
Sm  0.2500  0.6731  0.7004
Sm  0.2500  0.1731  0.7996
Sm  0.7500  0.1635  0.0253
Sm  0.2500  0.4818  0.1076
Cd  0.7500  0.8878  0.8114
Cd  0.2500  0.1122  0.1886
Cd  0.7500  0.3878  0.6886
Cd  0.2500  0.6122  0.3114
S  0.2500  0.3313  0.9511
S  0.2500  0.8313  0.5489
S  0.7500  0.1687  0.4511
S  0.7500  0.6687  0.0489



This record from Alexandria via LeMat-Bulk describes Sm3CdS6 after structural relaxation. The functional is GGA-PBE.

Calculated values
N(E_F) = 7.64 states/eV/f.u.

Cell: 6.8600 8.5629 8.5629 Å, 100.82 90.00 90.00°
Fractional positions:
Sm  0.4824  0.9168  0.7188
Sm  0.9824  0.7188  0.9168
Sm  0.3911  0.3999  0.6001
Sm  0.8911  0.6001  0.3999
Sm  0.9824  0.0832  0.2812
Sm  0.4824  0.2812  0.0832
Cd  0.0034  0.2008  0.7992
Cd  0.5034  0.7992  0.2008
S  0.1854  0.6946  0.6300
S  0.6854  0.6300  0.6946
S  0.2121  0.4470  0.9064
S  0.7121  0.9064  0.4470
S  0.1883  0.0295  0.9705
S  0.6428  0.2257  0.7743
S  0.1428  0.7743  0.2257
S  0.6883  0.9705  0.0295
S  0.2121  0.0936  0.5530
S  0.7121  0.5530  0.0936
S  0.1854  0.3700  0.3054
S  0.6854  0.3054  0.3700



This record from Alexandria via LeMat-Bulk describes Sm3Cd5S12 after structural relaxation. The functional is GGA-PBE.

Calculated values
N(E_F) = 18.13 states/eV/f.u.

Cell: 13.6867 13.6867 13.6867 Å, 109.47 109.47 109.47°
Fractional positions:
Sm  0.7500  0.3750  0.1250
Sm  0.8750  0.7500  0.1250
Sm  0.3750  0.7500  0.6250
Sm  0.2500  0.1250  0.3750
Sm  0.8750  0.1250  0.2500
Sm  0.3750  0.6250  0.2500
Sm  0.6250  0.3750  0.7500
Sm  0.1250  0.8750  0.7500
Sm  0.7500  0.8750  0.6250
Sm  0.6250  0.2500  0.3750
Sm  0.1250  0.2500  0.8750
Sm  0.2500  0.6250  0.8750
Cd  0.1250  0.3750  0.2500
Cd  0.0000  0.5000  0.0000
Cd  0.0000  0.0000  0.0000
Cd  0.3750  0.2500  0.1250
Cd  0.5000  0.0000  0.5000
Cd  0.5000  0.5000  0.0000
Cd  0.1250  0.7500  0.3750
Cd  0.7500  0.1250  0.8750
Cd  0.7500  0.6250  0.3750
Cd  0.3750  0.1250  0.7500
Cd  0.6250  0.8750  0.2500
Cd  0.5000  0.5000  0.5000
Cd  0.5000  0.0000  0.0000
Cd  0.0000  0.0000  0.5000
Cd  0.2500  0.3750  0.6250
Cd  0.2500  0.8750  0.1250
Cd  0.0000  0.5000  0.5000
Cd  0.8750  0.2500  0.6250
Cd  0.6250  0.7500  0.8750
Cd  0.8750  0.6250  0.7500
S  0.7249  0.1371  0.0517
S  0.3268  0.5517  0.4147
S  0.9483  0.3629  0.2751
S  0.5517  0.2249  0.1371
S  0.5879  0.7249  0.6732
S  0.9483  0.5853  0.1732
S  0.3268  0.7751  0.4121
S  0.0853  0.9121  0.1371
S  0.5853  0.9483  0.6732
S  0.7249  0.5879  0.1732
S  0.7751  0.4483  0.3629
S  0.8268  0.9147  0.0517
S  0.1371  0.7249  0.5517
S  0.3629  0.4147  0.0879
S  0.0879  0.9147  0.3629
S  0.4121  0.1371  0.5853
S  0.0879  0.1732  0.2249
S  0.4483  0.6732  0.0853
S  0.8268  0.9121  0.2751
S  0.1371  0.4121  0.0853
S  0.3629  0.9483  0.7751
S  0.5853  0.6371  0.4121
S  0.9147  0.8268  0.5517
S  0.7751  0.3268  0.9121
S  0.4147  0.3629  0.5879
S  0.0853  0.1732  0.4483
S  0.2249  0.6732  0.0879
S  0.1732  0.0879  0.7249
S  0.6371  0.0517  0.2249
S  0.8629  0.5879  0.9147
S  0.5517  0.3268  0.9147
S  0.5879  0.8629  0.4147
S  0.9121  0.8268  0.7751
S  0.9121  0.0853  0.6371
S  0.8629  0.2751  0.4483
S  0.1732  0.0853  0.9483
S  0.6371  0.5853  0.9121
S  0.4147  0.0517  0.3268
S  0.2751  0.4121  0.8268
S  0.2249  0.5517  0.6371
S  0.9147  0.0879  0.8629
S  0.6732  0.2249  0.5879
S  0.4483  0.7751  0.8629
S  0.0517  0.4147  0.8268
S  0.4121  0.2751  0.3268
S  0.0517  0.6371  0.7249
S  0.6732  0.4483  0.5853
S  0.2751  0.8629  0.9483



This record from Alexandria via LeMat-Bulk describes SmCdS2 after structural relaxation. The functional is GGA-PBE.

Calculated values
N(E_F) = 1.84 states/eV/f.u.

Cell: 4.0837 4.0837 8.5316 Å, 76.15 76.15 60.00°
Fractional positions:
S  0.1052  0.1052  0.6845
S  0.8948  0.8948  0.3155
Sm  0.5000  0.5000  0.5000
Cd  0.0000  0.0000  0.0000



This record from Alexandria via LeMat-Bulk describes CdSnS after structural relaxation. The functional is GGA-PBE.

Calculated values
N(E_F) = 0.31 states/eV/f.u.

Cell: 4.4010 4.4010 10.9636 Å, 78.41 78.41 59.96°
Fractional positions:
Sn  0.4121  0.4121  0.2148
Sn  0.1137  0.1137  0.1104
Cd  0.6400  0.6400  0.5298
Cd  0.2015  0.2015  0.8443
S  0.3315  0.3315  0.4559
S  0.5606  0.5606  0.7668



Calculated values (eV per atom) of final energy for the records, taken in order: -5.46; -5.40; -4.62; -4.74; -5.55; -4.21; -4.66; -3.33.
Calculated values (μB/f.u.) of total magnetic moment for the records, taken in order: 0.000; 0.000; 0.000; 0.000; 0.000; 0.000; 0.000; 0.000.